Record 1
Compound: Cr2CuOs
Source: Alexandria
Functional: PBE-GGA
Structure: relaxed

Unit cell a=2.649 b=2.649 c=7.259 alpha=90.00 beta=90.00 gamma=90.00
Fractional coordinates of all 4 atoms:
1 Cr 0.000 0.000 0.249
2 Cr 0.000 0.000 0.751
3 Cu 0.500 0.500 0.000
4 Os 0.500 0.500 0.500

Properties
Density of states at the Fermi level = 5.63 states/eV/cell
Total magnetic moment = 0.67 μB per cell
Energy of formation = 0.280 eV/atom
Symmetry = P4/mmm (123)

Record 2
Compound: MnTl2NiCl6
Source: Alexandria
Functional: PBE-GGA
Structure: relaxed

Unit cell a=6.994 b=6.994 c=6.994 alpha=119.90 beta=119.90 gamma=90.18
Fractional coordinates of all 10 atoms:
1 Mn 0.000 0.000 0.000
2 Tl 0.250 0.750 0.500
3 Tl 0.750 0.250 0.500
4 Ni 0.500 0.500 0.000
5 Cl 0.253 0.253 0.000
6 Cl 0.255 0.255 0.509
7 Cl 0.255 0.745 0.000
8 Cl 0.745 0.255 0.000
9 Cl 0.745 0.745 0.491
10 Cl 0.747 0.747 0.000

Properties
Formation energy without anion corrections = -0.85 eV/atom
Density of states at the Fermi level = 3.30 states/eV/cell
Total magnetic moment = 6.54 μB per cell
Symmetry = I4/mmm (139)

Record 3
Compound: LaTh2Te4
Source: Alexandria
Functional: PBE-GGA
Structure: relaxed

Unit cell a=7.434 b=7.434 c=15.859 alpha=90.00 beta=90.00 gamma=146.30
Fractional coordinates of all 14 atoms:
1 La 0.105 0.895 0.750
2 La 0.895 0.105 0.250
3 Th 0.352 0.648 0.561
4 Th 0.352 0.648 0.939
5 Th 0.648 0.352 0.061
6 Th 0.648 0.352 0.439
7 Te 0.000 0.000 0.000
8 Te 0.000 0.000 0.500
9 Te 0.290 0.710 0.132
10 Te 0.290 0.710 0.368
11 Te 0.435 0.565 0.750
12 Te 0.565 0.435 0.250
13 Te 0.710 0.290 0.632
14 Te 0.710 0.290 0.868

Properties
Formation energy without anion corrections = -1.22 eV/atom
Density of states at the Fermi level = 11.07 states/eV/cell
Total magnetic moment = 0.00 μB per cell
Symmetry = Cmcm (63)

Record 4
Compound: KYScBe2
Source: Alexandria
Functional: PBE-GGA
Structure: relaxed

Unit cell a=5.169 b=5.169 c=5.301 alpha=90.00 beta=90.00 gamma=90.00
Fractional coordinates of all 5 atoms:
1 K 0.000 0.000 0.000
2 Y 0.500 0.500 0.000
3 Sc 0.500 0.500 0.500
4 Be 0.000 0.500 0.500
5 Be 0.500 0.000 0.500

Properties
Density of states at the Fermi level = 3.66 states/eV/cell
Total magnetic moment = 0.45 μB per cell
Energy of formation = 1.162 eV/atom
Symmetry = P4/mmm (123)

Record 5
Compound: HfBiWS2
Source: Alexandria
Functional: PBE-GGA
Structure: relaxed

Unit cell a=4.573 b=4.573 c=5.612 alpha=90.00 beta=90.00 gamma=90.00
Fractional coordinates of all 5 atoms:
1 Hf 0.000 0.000 0.000
2 Bi 0.500 0.500 0.000
3 W 0.000 0.000 0.500
4 S 0.000 0.500 0.500
5 S 0.500 0.000 0.500

Properties
Formation energy without anion corrections = 0.21 eV/atom
Density of states at the Fermi level = 4.08 states/eV/cell
Total magnetic moment = 0.00 μB per cell
Symmetry = P4/mmm (123)

Record 6
Compound: TlTcNi2
Source: Alexandria
Functional: PBE-GGA
Structure: relaxed

Unit cell a=3.981 b=3.981 c=3.737 alpha=90.00 beta=90.00 gamma=90.00
Fractional coordinates of all 4 atoms:
1 Tl 0.000 0.000 0.000
2 Tc 0.500 0.500 0.000
3 Ni 0.000 0.500 0.500
4 Ni 0.500 0.000 0.500

Properties
Density of states at the Fermi level = 5.83 states/eV/cell
Total magnetic moment = 2.26 μB per cell
Energy of formation = 0.482 eV/atom
Symmetry = P4/mmm (123)

Record 7
Compound: Bi3SbH
Source: Alexandria
Functional: PBE-GGA
Structure: relaxed

Unit cell a=5.002 b=5.002 c=5.002 alpha=90.00 beta=90.00 gamma=90.00
Fractional coordinates of all 5 atoms:
1 Bi 0.000 0.000 0.500
2 Bi 0.000 0.500 0.000
3 Bi 0.500 0.000 0.000
4 Sb 0.500 0.500 0.500
5 H 0.000 0.000 0.000

Properties
Density of states at the Fermi level = 3.18 states/eV/cell
Total magnetic moment = 0.00 μB per cell
Energy = -3.42 eV/atom
Symmetry = Pm-3m (221)

Record 8
Compound: SrCaMg2Cu
Source: Alexandria
Functional: PBE-GGA
Structure: relaxed

Unit cell a=5.239 b=5.239 c=5.405 alpha=90.00 beta=90.00 gamma=90.00
Fractional coordinates of all 5 atoms:
1 Sr 0.000 0.000 0.000
2 Ca 0.500 0.500 0.000
3 Mg 0.000 0.500 0.500
4 Mg 0.500 0.000 0.500
5 Cu 0.500 0.500 0.500

Properties
Density of states at the Fermi level = 4.10 states/eV/cell
Total magnetic moment = 0.00 μB per cell
Energy of formation = 0.004 eV/atom
Symmetry = P4/mmm (123)